Density functional theory data (GGA-PBE) for an optimized crystal structure of La3PtC.

```
La3PtC
1.0
5.0880 0.0000 0.0000
0.0000 5.0880 0.0000
0.0000 0.0000 5.0880
La Pt C
3 1 1
direct
0.0000 0.0000 0.5000 La
0.0000 0.5000 0.0000 La
0.5000 0.0000 0.0000 La
0.5000 0.5000 0.5000 Pt
0.0000 0.0000 0.0000 C
```

Computed properties:
Calculated density   7.864 g/cm³
Formation energy from the elements   -0.2639 eV/atom
DOS(E_F)   5.514 states/eV/f.u.
Uncorrected energy   -6.273 eV/atom
Energy above the lowest structure with this stoichiometry   0 meV/atom